Below is a relaxed structure of TiTlV2O8, with properties calculated at the PBE with a Hubbard U level.

## Properties
E = -87.4 eV for the cell shown

a = 5.6589 Å, b = 5.6589 Å, c = 6.5812 Å
α = 90.00°, β = 90.00°, γ = 120.00°
Sites, in units of the cell vectors:
Ti1 0.0000 0.0000 0.0000
Tl1 0.0000 0.0000 0.5000
V1 0.3333 0.6667 0.7384
V2 0.6667 0.3333 0.2616
O1 0.1597 0.3193 0.8199
O2 0.1597 0.8403 0.8199
O3 0.3193 0.1597 0.1801
O4 0.3333 0.6667 0.4885
O5 0.6667 0.3333 0.5115
O6 0.6807 0.8403 0.8199
O7 0.8403 0.1597 0.1801
O8 0.8403 0.6807 0.1801



Below is a relaxed structure of TiTl2WO6, with properties calculated at the PBE with a Hubbard U level.

## Properties
E = -68.7 eV for the cell shown

a = 6.8635 Å, b = 6.8635 Å, c = 6.8635 Å
α = 133.95°, β = 133.95°, γ = 67.16°
Sites, in units of the cell vectors:
Ti1 0.0000 0.0000 0.0000
Tl1 0.2390 0.7390 0.5000
Tl2 0.7390 0.2390 0.5000
W1 0.5038 0.5038 0.0000
O1 0.2998 0.2998 0.5079
O2 0.2998 0.7920 0.0000
O3 0.3474 0.3474 0.0000
O4 0.7920 0.2998 0.0000
O5 0.7920 0.7920 0.4921
O6 0.8499 0.8499 0.0000



E of number 2 (TiTl2WO6)?
-68.7 eV for the cell shown